Entry 1:
VASP calculation (PBE) on a relaxed Ac2BiAs crystal.

Cell and atoms, written as CIF:
```
data_Ac2BiAs
_chemical_formula_sum 'Ac2 Bi1 As1'
_space_group_name_H-M_alt 'P 1'
_space_group_IT_number 1
_cell_length_a 5.7171
_cell_length_b 5.7171
_cell_length_c 5.7171
_cell_angle_alpha 60.00
_cell_angle_beta 60.00
_cell_angle_gamma 60.00
loop_
_space_group_symop_operation_xyz
'x,y,z'
loop_
_atom_site_label
_atom_site_type_symbol
_atom_site_fract_x
_atom_site_fract_y
_atom_site_fract_z
As1 As 0.5000 0.5000 0.5000
Ac1 Ac 0.2500 0.2500 0.2500
Ac2 Ac 0.7500 0.7500 0.7500
Bi1 Bi 0.0000 0.0000 0.0000
```

Calculated values
Volume: 132.1 Å³/f.u.
Crystal system: cubic

***

Entry 2:
VASP calculation (PBE) on a relaxed Ce3BeGe6Pd2 crystal.

Cell and atoms, written as CIF:
```
data_Ce3BeGe6Pd2
_chemical_formula_sum 'Ce3 Be1 Ge6 Pd2'
_space_group_name_H-M_alt 'P 1'
_space_group_IT_number 1
_cell_length_a 5.9087
_cell_length_b 5.9087
_cell_length_c 7.9684
_cell_angle_alpha 90.00
_cell_angle_beta 90.00
_cell_angle_gamma 120.00
loop_
_space_group_symop_operation_xyz
'x,y,z'
loop_
_atom_site_label
_atom_site_type_symbol
_atom_site_fract_x
_atom_site_fract_y
_atom_site_fract_z
Ce1 Ce 0.3333 0.6667 0.6390
Ce2 Ce 0.6667 0.3333 0.3610
Ce3 Ce 0.0000 0.0000 0.0000
Be1 Be 0.0000 0.0000 0.5000
Ge1 Ge 0.6359 0.8179 0.2987
Ge2 Ge 0.1821 0.3641 0.2987
Ge3 Ge 0.1821 0.8179 0.2987
Ge4 Ge 0.8179 0.6359 0.7013
Ge5 Ge 0.3641 0.1821 0.7013
Ge6 Ge 0.8179 0.1821 0.7013
Pd1 Pd 0.6667 0.3333 0.9680
Pd2 Pd 0.3333 0.6667 0.0320
```

Calculated values
Volume: 240.9 Å³/f.u.
Crystal system: trigonal

***

The calculation returns the following calculated density values, one per record and in order: 9.27 7.43 g cm⁻³.
The calculation returns the following spin magnetization values, one per record and in order: 0.0 1.2 μB per formula unit.
The calculation returns the following calculated formation energy values, one per record and in order: -0.89 -0.38 eV per atom.